# 1
4
Lattice="4.2815 0.0000 0.0000 0.0000 4.2815 0.0000 -2.1408 -2.1408 4.3250" Properties=species:S:1:pos:R:3 comment="KSi2As (GGA-PBEsol, relaxed)" final_energy_ev_per_atom=-3.909 space_group="I-4m2, No. 119" formation_energy_uncorrected_ev_per_atom=0.525 dos_ef_per_ev_atom=0.3866 pbc="T T T"
As 2.1408 2.1408 0.0000
Si 0.0000 0.0000 0.0000
Si 2.1408 0.0000 2.1625
K 0.0000 2.1408 2.1625

# 2
4
Lattice="4.8399 0.0000 0.0000 2.4200 4.1915 0.0000 2.4200 1.3972 3.9518" Properties=species:S:1:pos:R:3 comment="KSi2As (GGA-PBEsol, relaxed)" final_energy_ev_per_atom=-3.823 space_group="F-43m, No. 216" formation_energy_uncorrected_ev_per_atom=0.610 dos_ef_per_ev_atom=0.6840 pbc="T T T"
As 4.8399 2.7943 1.9759
Si 0.0000 0.0000 0.0000
Si 7.2599 4.1915 2.9638
K 2.4200 1.3972 0.9879

# 3
4
Lattice="-2.8235 0.1208 -1.9970 -1.1914 -5.4295 -1.6421 -4.2440 -2.7458 2.8363" Properties=species:S:1:pos:R:3 comment="KSi2As (GGA-PBEsol, relaxed)" final_energy_ev_per_atom=-4.105 space_group="Imm2, No. 44" formation_energy_uncorrected_ev_per_atom=0.328 dos_ef_per_ev_atom=0.5292 pbc="T T T"
As -4.3146 -4.6153 -0.1752
Si -5.2503 -7.5875 0.9681
Si -6.1910 -6.0308 -0.6060
K -2.0679 -2.0236 -0.1969

What is the formula in the third record? KSi2As